# ThZn2Cu3, optimized geometry, DFT PBE
# M_tot = 0.000 μB per formula unit
# VASP energy = -3.86 eV per atom
# D(E_F) = 8.09 states/eV/cell
data_ThZn2Cu3
_symmetry_space_group_name_H-M 'P 1'
_symmetry_Int_Tables_number 1
_cell_length_a 4.272
_cell_length_b 4.272
_cell_length_c 12.837
_cell_angle_alpha 90.00
_cell_angle_beta 90.00
_cell_angle_gamma 120.00
loop_
_symmetry_equiv_pos_as_xyz
'x,y,z'
loop_
_atom_site_label
_atom_site_fract_x
_atom_site_fract_y
_atom_site_fract_z
Th1 0.000 0.000 0.250
Th2 0.000 0.000 0.750
Zn1 0.333 0.667 0.082
Zn2 0.333 0.667 0.418
Zn3 0.667 0.333 0.582
Zn4 0.667 0.333 0.918
Cu1 0.000 0.000 0.000
Cu2 0.000 0.000 0.500
Cu3 0.333 0.667 0.615
Cu4 0.333 0.667 0.885
Cu5 0.667 0.333 0.115
Cu6 0.667 0.333 0.385